! Ca2CrOs PBE-GGA optimized geometry; values from VASP
! Polymorph energy (0 for the lowest one), kJ/mol of formula units: 39
! Energy relative to the elements, eV/atom: 0.330
! Volume, Å³/cell: 93.32
! SG: Pm, No. 6
! DOS(E_F), states/eV/cell: 3.9
! Electronic total energy, hartree per atom: -0.216
&SYSTEM
  ibrav = 0, nat = 4, ntyp = 3
/
ATOMIC_SPECIES
Ca 40.08 Ca.upf
Cr 52.00 Cr.upf
Os 190.23 Os.upf
CELL_PARAMETERS angstrom
3.2480 0.0000 0.0000
0.0000 3.2452 0.0000
-0.0160 0.0000 8.8533
ATOMIC_POSITIONS crystal
Ca 0.0000 0.0000 0.0000
Ca 0.4968 0.5000 0.3884
Cr 0.4989 0.5000 0.7425
Os 0.9982 0.0000 0.6364